Computed, not measured: crystalline Dy5ErTm at its relaxed geometry at the PBE-GGA level of DFT.

Unit cell a=6.6937 b=6.6937 c=12.1562 alpha=108.06 beta=108.06 gamma=59.70
Closest atoms and distances in Å follow each position.
Fractional positions:
Dy 0.0834 0.3537 0.7432  2 Dy 2.95-3.26, 1 Tm 3.20
Dy 0.0833 0.9167 0.7500  2 Dy 2.95, 1 Er 2.97
Dy 0.1582 0.6818 0.9979  3 Dy 3.26-3.61, 1 Er 3.26
Dy 0.3182 0.8418 0.5021  3 Dy 3.26-3.61, 1 Er 3.26
Dy 0.3537 0.0834 0.2432  2 Dy 2.95-3.26, 1 Tm 3.20
Dy 0.6463 0.9166 0.7568  2 Dy 2.95-3.26, 1 Tm 3.20
Dy 0.6818 0.1582 0.4979  3 Dy 3.26-3.61, 1 Er 3.26
Dy 0.8418 0.3182 0.0021  3 Dy 3.26-3.61, 1 Er 3.26
Dy 0.9167 0.0833 0.2500  2 Dy 2.95, 1 Er 2.97
Dy 0.9166 0.6463 0.2568  2 Dy 2.95-3.26, 1 Tm 3.20
Er 0.4707 0.5293 0.2500  3 Dy 2.97-3.26
Er 0.5293 0.4707 0.7500  3 Dy 2.97-3.26
Tm 0.0000 0.5000 0.5000  4 Dy 3.20-3.55
Tm 0.5000 0.0000 0.0000  4 Dy 3.20-3.55

Calculated values
The calculation puts the relative energy among the computed polymorphs at 0.00 kcal/mol of atoms. The raw total energy comes out at -4.38 eV/atom.


Computed, not measured: crystalline Dy4Er7Tm at its relaxed geometry at the PBE-GGA level of DFT.

Unit cell a=6.4267 b=6.7137 c=8.9292 alpha=85.54 beta=76.81 gamma=81.77
Closest atoms and distances in Å follow each position.
Fractional positions:
Dy 0.1395 0.3071 0.2849  8 Er 3.26-3.64, 1 Tm 3.34, 2 Dy 3.45-3.46
Dy 0.3395 0.8827 0.6905  7 Er 3.35-3.62, 2 Dy 3.45-3.46
Dy 0.6605 0.1173 0.3095  7 Er 3.35-3.62, 2 Dy 3.45-3.46
Dy 0.8605 0.6929 0.7151  8 Er 3.26-3.64, 1 Tm 3.34, 2 Dy 3.45-3.46
Er 0.0132 0.2520 0.9494  5 Er 3.31-3.49, 4 Dy 3.34-3.64, 1 Tm 3.42
Er 0.1844 0.7980 0.3583  5 Er 3.34-3.65, 4 Dy 3.41-3.47
Er 0.3098 0.3932 0.6141  5 Er 3.23-3.54, 5 Dy 3.26-3.56
Er 0.5000 0.0000 0.0000  4 Dy 3.35-3.58, 2 Tm 3.36, 4 Er 3.44-3.65
Er 0.6902 0.6068 0.3859  5 Er 3.23-3.54, 5 Dy 3.26-3.56
Er 0.8156 0.2020 0.6417  5 Er 3.34-3.65, 4 Dy 3.41-3.47
Er 0.9868 0.7480 0.0506  5 Er 3.31-3.49, 4 Dy 3.34-3.64, 1 Tm 3.42
Tm 0.5000 0.5000 0.0000  2 Dy 3.34, 4 Er 3.36-3.42

Calculated values
The calculation puts the relative energy among the computed polymorphs at 0.00 kcal/mol of atoms. The raw total energy comes out at -4.48 eV/atom.


Computed, not measured: crystalline DyEr3Tm4 at its relaxed geometry at the PBE-GGA level of DFT.

Unit cell a=13.1762 b=13.1762 c=3.5056 alpha=90.00 beta=90.00 gamma=155.79
Closest atoms and distances in Å follow each position.
Fractional positions:
Dy 0.0000 0.0000 0.0000  4 Tm 3.20, 4 Er 3.27, 2 Dy 3.51
Er 0.3439 0.6561 0.0000  2 Er 3.51, 10 Tm 3.54-3.70
Er 0.5000 0.5000 0.5000  4 Dy 3.27, 2 Er 3.51
Er 0.6561 0.3439 0.0000  2 Er 3.51, 10 Tm 3.54-3.70
Tm 0.1038 0.8962 0.5000  1 Tm 3.08, 2 Dy 3.20
Tm 0.2232 0.7768 0.5000  3 Tm 3.08-3.09
Tm 0.7768 0.2232 0.5000  3 Tm 3.08-3.09
Tm 0.8962 0.1038 0.5000  1 Tm 3.08, 2 Dy 3.20

Calculated values
The calculation puts the relative energy among the computed polymorphs at 5.05 kcal/mol of atoms. The raw total energy comes out at -4.31 eV/atom.


Computed, not measured: crystalline Dy3ErTm5 at its relaxed geometry at the PBE-GGA level of DFT.

Unit cell a=9.7189 b=9.7189 c=7.1377 alpha=90.00 beta=90.00 gamma=55.86
Closest atoms and distances in Å follow each position.
Fractional positions:
Dy 0.0000 0.0000 0.0000  2 Er 3.29, 2 Dy 3.57, 2 Tm 3.57
Dy 0.0000 0.0000 0.5000  2 Er 3.29, 2 Dy 3.57, 2 Tm 3.57
Dy 0.1900 0.1909 0.2500  8 Tm 3.43-3.53, 4 Dy 3.57-3.73
Dy 0.1909 0.1900 0.7500  8 Tm 3.43-3.53, 4 Dy 3.57-3.73
Dy 0.8091 0.8100 0.2500  8 Tm 3.43-3.53, 4 Dy 3.57-3.73
Dy 0.8100 0.8091 0.7500  8 Tm 3.43-3.53, 4 Dy 3.57-3.73
Er 0.3032 0.6968 0.7500  7 Tm 3.25-3.58, 2 Dy 3.29
Er 0.6968 0.3032 0.2500  7 Tm 3.25-3.58, 2 Dy 3.29
Tm 0.1563 0.5215 0.5008  5 Tm 3.29-3.58, 1 Er 3.29, 4 Dy 3.43-3.53
Tm 0.1563 0.5215 0.9992  5 Tm 3.29-3.58, 1 Er 3.29, 4 Dy 3.43-3.53
Tm 0.3395 0.6605 0.2500  3 Er 3.25-3.58, 4 Tm 3.30, 2 Dy 3.57
Tm 0.4785 0.8437 0.5008  5 Tm 3.29-3.58, 1 Er 3.29, 4 Dy 3.43-3.53
Tm 0.4785 0.8437 0.9992  5 Tm 3.29-3.58, 1 Er 3.29, 4 Dy 3.43-3.53
Tm 0.5215 0.1563 0.0008  5 Tm 3.29-3.58, 1 Er 3.29, 4 Dy 3.43-3.53
Tm 0.5215 0.1563 0.4992  5 Tm 3.29-3.58, 1 Er 3.29, 4 Dy 3.43-3.53
Tm 0.6605 0.3395 0.7500  3 Er 3.25-3.58, 4 Tm 3.30, 2 Dy 3.57
Tm 0.8437 0.4785 0.0008  5 Tm 3.29-3.58, 1 Er 3.29, 4 Dy 3.43-3.53
Tm 0.8437 0.4785 0.4992  5 Tm 3.29-3.58, 1 Er 3.29, 4 Dy 3.43-3.53

Calculated values
The calculation puts the relative energy among the computed polymorphs at 0.00 kcal/mol of atoms. The raw total energy comes out at -4.39 eV/atom.


Computed, not measured: crystalline Dy5Er6Tm at its relaxed geometry at the PBE-GGA level of DFT.

Unit cell a=9.9969 b=9.9969 c=9.9969 alpha=146.79 beta=136.85 gamma=55.51
Closest atoms and distances in Å follow each position.
Fractional positions:
Dy 0.0000 0.0000 0.0000  8 Er 3.39-3.68, 2 Tm 3.68
Dy 0.1530 0.6530 0.5000  8 Er 3.27-3.48
Dy 0.3482 0.3482 0.0000  8 Er 3.26-3.50
Dy 0.6518 0.6518 0.0000  8 Er 3.26-3.50
Dy 0.8470 0.3470 0.5000  8 Er 3.27-3.48
Er 0.0700 0.8201 0.2499  7 Dy 3.43-3.68, 4 Er 3.67-3.78, 1 Tm 3.68
Er 0.2490 0.5000 0.7490  6 Dy 3.26-3.39, 2 Tm 3.40
Er 0.4299 0.1799 0.2499  7 Dy 3.43-3.68, 4 Er 3.67-3.78, 1 Tm 3.68
Er 0.5701 0.8201 0.7501  7 Dy 3.43-3.68, 4 Er 3.67-3.78, 1 Tm 3.68
Er 0.7510 0.5000 0.2510  6 Dy 3.26-3.39, 2 Tm 3.40
Er 0.9300 0.1799 0.7501  7 Dy 3.43-3.68, 4 Er 3.67-3.78, 1 Tm 3.68
Tm 0.5000 0.0000 0.5000  8 Er 3.40-3.68, 2 Dy 3.68

Calculated values
The raw total energy comes out at -4.45 eV/atom.


Computed, not measured: crystalline Dy6ErTm3 at its relaxed geometry at the PBE-GGA level of DFT.

Unit cell a=11.4091 b=11.4091 c=6.2988 alpha=90.00 beta=90.00 gamma=130.49
Closest atoms and distances in Å follow each position.
Fractional positions:
Dy 0.0155 0.9845 0.5000  4 Dy 3.21-3.54, 1 Er 3.25, 4 Tm 3.49-3.51
Dy 0.1043 0.5427 0.9934  2 Tm 3.23-3.37, 3 Dy 3.37-3.53, 2 Er 3.53-3.59
Dy 0.2588 0.3785 0.7514  3 Tm 3.31-3.49, 4 Dy 3.47-3.64, 1 Er 3.71
Dy 0.3005 0.6995 0.5343  1 Tm 3.12, 1 Er 3.24, 2 Dy 3.37
Dy 0.3785 0.2588 0.2514  3 Tm 3.31-3.49, 4 Dy 3.47-3.64, 1 Er 3.71
Dy 0.4573 0.8957 0.9934  2 Tm 3.23-3.37, 3 Dy 3.37-3.53, 2 Er 3.53-3.59
Dy 0.5427 0.1043 0.4934  2 Tm 3.23-3.37, 3 Dy 3.37-3.53, 2 Er 3.53-3.59
Dy 0.6215 0.7412 0.7514  3 Tm 3.31-3.49, 4 Dy 3.47-3.64, 1 Er 3.71
Dy 0.6995 0.3005 0.0343  1 Tm 3.12, 1 Er 3.24, 2 Dy 3.37
Dy 0.7412 0.6215 0.2514  3 Tm 3.31-3.49, 4 Dy 3.47-3.64, 1 Er 3.71
Dy 0.8957 0.4573 0.4934  2 Tm 3.23-3.37, 3 Dy 3.37-3.53, 2 Er 3.53-3.59
Dy 0.9845 0.0155 0.0000  4 Dy 3.21-3.54, 1 Er 3.25, 4 Tm 3.49-3.51
Er 0.1607 0.8393 0.3037  6 Dy 3.24-3.59, 2 Tm 3.47
Er 0.8393 0.1607 0.8037  6 Dy 3.24-3.59, 2 Tm 3.47
Tm 0.0427 0.2947 0.3300  2 Tm 3.22-3.36, 5 Dy 3.23-3.51, 1 Er 3.47
Tm 0.2947 0.0427 0.8300  2 Tm 3.22-3.36, 5 Dy 3.23-3.51, 1 Er 3.47
Tm 0.4189 0.5811 0.2274  5 Dy 3.12-3.49, 2 Tm 3.36
Tm 0.5811 0.4189 0.7274  5 Dy 3.12-3.49, 2 Tm 3.36
Tm 0.7053 0.9573 0.3300  2 Tm 3.22-3.36, 5 Dy 3.23-3.51, 1 Er 3.47
Tm 0.9573 0.7053 0.8300  2 Tm 3.22-3.36, 5 Dy 3.23-3.51, 1 Er 3.47

Calculated values
The calculation puts the relative energy among the computed polymorphs at 0.00 kcal/mol of atoms. The raw total energy comes out at -4.43 eV/atom.


Computed, not measured: crystalline Dy5Er2Tm12 at its relaxed geometry at the PBE-GGA level of DFT.

Unit cell a=6.0493 b=9.8336 c=10.7250 alpha=66.94 beta=84.28 gamma=88.41
Closest atoms and distances in Å follow each position.
Fractional positions:
Dy 0.0000 0.0000 0.0000  10 Tm 3.23-3.59
Dy 0.0994 0.9844 0.3394  10 Tm 3.41-3.69, 2 Dy 3.66-3.69
Dy 0.4158 0.5085 0.1610  1 Er 3.26, 5 Tm 3.33-3.51, 1 Dy 3.57
Dy 0.5842 0.4915 0.8390  1 Er 3.26, 5 Tm 3.33-3.51, 1 Dy 3.57
Dy 0.9006 0.0156 0.6606  10 Tm 3.41-3.69, 2 Dy 3.66-3.69
Er 0.2734 0.5536 0.4436  3 Tm 3.05-3.25, 1 Er 3.10, 1 Dy 3.26
Er 0.7266 0.4464 0.5564  3 Tm 3.05-3.25, 1 Er 3.10, 1 Dy 3.26
Tm 0.0740 0.6772 0.6673  1 Er 3.21, 5 Tm 3.32-3.57, 2 Dy 3.44-3.48
Tm 0.0952 0.3070 0.7397  2 Er 3.05-3.25, 3 Tm 3.19-3.41, 1 Dy 3.23
Tm 0.1142 0.3259 0.0303  5 Tm 3.21-3.55, 3 Dy 3.34-3.44
Tm 0.3898 0.8357 0.8264  7 Tm 3.36-3.73, 4 Dy 3.51-3.65
Tm 0.4069 0.1746 0.5058  3 Dy 3.44-3.69, 7 Tm 3.52-3.80, 2 Er 3.58-3.60
Tm 0.4559 0.8508 0.1481  4 Tm 3.19-3.57, 3 Dy 3.33-3.41, 1 Er 3.47
Tm 0.5441 0.1492 0.8519  4 Tm 3.19-3.57, 3 Dy 3.33-3.41, 1 Er 3.47
Tm 0.5931 0.8254 0.4942  3 Dy 3.44-3.69, 7 Tm 3.52-3.80, 2 Er 3.58-3.60
Tm 0.6102 0.1643 0.1736  7 Tm 3.36-3.73, 4 Dy 3.51-3.65
Tm 0.8858 0.6741 0.9697  5 Tm 3.21-3.55, 3 Dy 3.34-3.44
Tm 0.9048 0.6930 0.2603  2 Er 3.05-3.25, 3 Tm 3.19-3.41, 1 Dy 3.23
Tm 0.9260 0.3228 0.3327  1 Er 3.21, 5 Tm 3.32-3.57, 2 Dy 3.44-3.48

Calculated values
The raw total energy comes out at -4.39 eV/atom.


Computed, not measured: crystalline Dy4ErTm3 at its relaxed geometry at the PBE-GGA level of DFT.

Unit cell a=13.1678 b=13.1678 c=3.5388 alpha=90.00 beta=90.00 gamma=155.71
Closest atoms and distances in Å follow each position.
Fractional positions:
Dy 0.1030 0.8970 0.0000  1 Dy 3.08, 2 Er 3.19
Dy 0.2228 0.7772 0.0000  3 Dy 3.08-3.10
Dy 0.7772 0.2228 0.0000  3 Dy 3.08-3.10
Dy 0.8970 0.1030 0.0000  1 Dy 3.08, 2 Er 3.19
Er 0.0000 0.0000 0.5000  4 Dy 3.19, 4 Tm 3.29, 2 Er 3.54
Tm 0.3452 0.6548 0.5000  2 Tm 3.54, 10 Dy 3.55-3.73
Tm 0.5000 0.5000 0.0000  4 Er 3.29, 2 Tm 3.54
Tm 0.6548 0.3452 0.5000  2 Tm 3.54, 10 Dy 3.55-3.73

Calculated values
The calculation puts the relative energy among the computed polymorphs at 4.76 kcal/mol of atoms. The raw total energy comes out at -4.34 eV/atom.


One value per record, in order, for volume: 31.37, 30.90, 31.20, 31.00, 30.96, 31.18, 30.74, 31.55 Å³/atom.
One value per record, in order, for ΔH_f (0 K): 0.20, 0.09, 0.22, 0.13, 0.12, 0.13, 0.13, 0.21 eV per atom.
One value per record, in order, for ρ: 8.69, 8.91, 8.91, 8.92, 8.87, 8.78, 9.02, 8.71 g/cm3.